(1)
# RbLiZnHSe (GGA-PBE, relaxed)
data_RbLiZnHSe
_symmetry_space_group_name_H-M 'P 1'
_symmetry_Int_Tables_number 1
_cell_length_a 4.1857
_cell_length_b 4.5600
_cell_length_c 7.3315
_cell_angle_alpha 73.49
_cell_angle_beta 74.50
_cell_angle_gamma 69.68
loop_
_symmetry_equiv_pos_as_xyz
'x,y,z'
loop_
_atom_site_label
_atom_site_fract_x
_atom_site_fract_y
_atom_site_fract_z
_atom_site_occupancy
Rb1 0.0000 0.0000 0.0000 1
Li1 0.2259 0.2253 0.3840 1
Zn1 0.4466 0.5189 0.5762 1
H1 0.3117 0.3424 0.1277 1
Se1 0.7961 0.9031 0.5739 1
# Polymorph energy (0 for the lowest one) in meV per atom: 92
# Calculated total energy in eV/cell: -13.0

=====

(2)
# Tb4GdDy (GGA-PBE, relaxed)
data_Tb4GdDy
_symmetry_space_group_name_H-M 'F -4 3 m'
_symmetry_Int_Tables_number 216
_symmetry_space_group_name_Hall 'F -4 2 3'
_cell_length_a 9.3167
_cell_length_b 9.3167
_cell_length_c 9.3167
_cell_angle_alpha 90.00
_cell_angle_beta 90.00
_cell_angle_gamma 90.00
loop_
_atom_site_label
_atom_site_fract_x
_atom_site_fract_y
_atom_site_fract_z
_atom_site_occupancy
Tb1 0.1245 0.1245 0.3755 1
Gd1 0.0000 0.0000 0.0000 1
Dy1 0.2500 0.2500 0.7500 1
# ΔE_f in meV/atom: 249
# Calculated total energy in eV/cell: -142.8

=====

(3)
# Ca2TlI (GGA-PBE, relaxed)
data_Ca2TlI
_symmetry_space_group_name_H-M 'R -3 m'
_symmetry_Int_Tables_number 166
_symmetry_space_group_name_Hall '-R 3 2"'
_cell_length_a 4.2520
_cell_length_b 4.2520
_cell_length_c 26.1791
_cell_angle_alpha 90.00
_cell_angle_beta 90.00
_cell_angle_gamma 120.00
loop_
_atom_site_label
_atom_site_fract_x
_atom_site_fract_y
_atom_site_fract_z
_atom_site_occupancy
Ca1 0.0000 0.0000 0.2441 1
Tl1 0.0000 0.0000 0.5000 1
I1 0.0000 0.0000 0.0000 1
# Formation energy without anion corrections in meV/atom: -753
# Polymorph energy (0 for the lowest one) in meV per atom: 0
# Calculated total energy in eV/cell: -32.8

=====

(4)
# OsRhF2 (GGA-PBE, relaxed)
data_OsRhF2
_symmetry_space_group_name_H-M 'R -3 m'
_symmetry_Int_Tables_number 166
_symmetry_space_group_name_Hall '-R 3 2"'
_cell_length_a 2.6729
_cell_length_b 2.6729
_cell_length_c 25.9469
_cell_angle_alpha 90.00
_cell_angle_beta 90.00
_cell_angle_gamma 120.00
loop_
_atom_site_label
_atom_site_fract_x
_atom_site_fract_y
_atom_site_fract_z
_atom_site_occupancy
Os1 0.0000 0.0000 0.0000 1
Rh1 0.0000 0.0000 0.5000 1
F1 0.0000 0.0000 0.0747 1
# Formation energy without anion corrections in meV/atom: -418
# Polymorph energy (0 for the lowest one) in meV per atom: 0
# Calculated total energy in eV/cell: -72.0

=====

(5)
# AcBi2Pd3 (GGA-PBE, relaxed)
data_AcBi2Pd3
_symmetry_space_group_name_H-M 'C m c m'
_symmetry_Int_Tables_number 63
_symmetry_space_group_name_Hall '-C 2c 2'
_cell_length_a 10.4808
_cell_length_b 6.0535
_cell_length_c 9.6842
_cell_angle_alpha 90.00
_cell_angle_beta 90.00
_cell_angle_gamma 90.00
loop_
_atom_site_label
_atom_site_fract_x
_atom_site_fract_y
_atom_site_fract_z
_atom_site_occupancy
Ac1 0.0000 0.0009 0.2500 1
Bi1 0.1667 0.5000 0.0000 1
Pd1 0.0000 0.4992 0.7500 1
Pd2 0.2498 0.2495 0.7500 1
# ΔE_f in meV/atom: -478
# Polymorph energy (0 for the lowest one) in meV per atom: 125
# Calculated total energy in eV/cell: -121.3

=====

(6)
# PmYGaHg (GGA-PBE, relaxed)
data_PmYGaHg
_symmetry_space_group_name_H-M 'P 4 m m'
_symmetry_Int_Tables_number 99
_cell_length_a 3.6578
_cell_length_b 3.6578
_cell_length_c 7.5697
_cell_angle_alpha 90.00
_cell_angle_beta 90.00
_cell_angle_gamma 90.00
loop_
_symmetry_equiv_pos_as_xyz
'x,y,z'
'-y,x,z'
'-x,-y,z'
'y,-x,z'
'-x,y,z'
'y,x,z'
'x,-y,z'
'-y,-x,z'
loop_
_atom_site_label
_atom_site_fract_x
_atom_site_fract_y
_atom_site_fract_z
_atom_site_occupancy
Pm1 0.0000 0.0000 0.0000 1
Y1 0.0000 0.0000 0.5278 1
Ga1 0.5000 0.5000 0.7568 1
Hg1 0.5000 0.5000 0.2791 1
# ΔE_f in meV/atom: -542
# Polymorph energy (0 for the lowest one) in meV per atom: 0
# Calculated total energy in eV/cell: -16.7

=====

Which of these has the highest calculated total energy?
RbLiZnHSe